1.
First-principles (PBE) data for a geometry-optimized Li2SmDyAu4 structure, as listed in the Alexandria database.

Summary:
Space group: R-3m
ρ in kg/m³: 11115
Calculated formation energy in eV/atom: -0.70
Magnetization in μB per formula unit: 0.00

Cell: 8.301 8.301 8.301 Å, 34.82 34.82 34.82°
Element x y z (fractional)
Li: 0.250 0.250 0.250
Li: 0.750 0.750 0.750
Sm: 0.000 0.000 0.000
Dy: 0.500 0.500 0.500
Au: 0.131 0.131 0.131
Au: 0.373 0.373 0.373
Au: 0.627 0.627 0.627
Au: 0.869 0.869 0.869



2.
First-principles (PBE) data for a geometry-optimized RbOsSeN2 structure, as listed in the Alexandria database.

Summary:
Raw formation energy in eV per formula unit: 3.16
Space group: P4/mmm
ρ in kg/m³: 7411
Relative energy among the computed polymorphs in kJ per mole of atoms: 0.0
Magnetization in μB per formula unit: 0.00

Cell: 4.009 4.009 5.334 Å, 90.00 90.00 90.00°
Element x y z (fractional)
Rb: 0.000 0.000 0.000
Os: 0.500 0.500 0.500
Se: 0.500 0.500 0.000
N: 0.000 0.500 0.500
N: 0.500 0.000 0.500



3.
First-principles (PBE) data for a geometry-optimized MnCuRhW structure, as listed in the Alexandria database.

Summary:
Space group: F-43m
ρ in kg/m³: 12445
Calculated formation energy in eV/atom: 0.11
Magnetization in μB per formula unit: 0.98

Cell: 4.244 4.244 4.244 Å, 60.00 60.00 60.00°
Element x y z (fractional)
Mn: 0.000 0.000 0.000
Cu: 0.250 0.250 0.250
Rh: 0.500 0.500 0.500
W: 0.750 0.750 0.750



4.
First-principles (PBE) data for a geometry-optimized HgPbO structure, as listed in the Alexandria database.

Summary:
Raw formation energy in eV per formula unit: -1.87
Space group: C2/m
ρ in kg/m³: 8404
Relative energy among the computed polymorphs in kJ per mole of atoms: 11.8
Magnetization in μB per formula unit: 0.00

Cell: 7.351 7.351 7.456 Å, 119.22 119.22 28.76°
Element x y z (fractional)
Hg: 0.077 0.077 0.254
Hg: 0.923 0.923 0.746
Pb: 0.341 0.341 0.222
Pb: 0.659 0.659 0.778
O: 0.272 0.272 0.872
O: 0.728 0.728 0.128



5.
First-principles (PBE) data for a geometry-optimized Sn6AsPd12 structure, as listed in the Alexandria database.

Summary:
Space group: R-3
ρ in kg/m³: 9427
Calculated formation energy in eV/atom: -0.37
Magnetization in μB per formula unit: 0.00

Cell: 7.434 7.434 7.434 Å, 104.41 104.41 104.41°
Element x y z (fractional)
Sn: 0.139 0.860 0.600
Sn: 0.140 0.400 0.861
Sn: 0.400 0.861 0.140
Sn: 0.600 0.139 0.860
Sn: 0.860 0.600 0.139
Sn: 0.861 0.140 0.400
As: 0.500 0.500 0.500
Pd: 0.015 0.721 0.877
Pd: 0.123 0.985 0.279
Pd: 0.181 0.481 0.538
Pd: 0.279 0.123 0.985
Pd: 0.462 0.819 0.519
Pd: 0.481 0.538 0.181
Pd: 0.519 0.462 0.819
Pd: 0.538 0.181 0.481
Pd: 0.721 0.877 0.015
Pd: 0.819 0.519 0.462
Pd: 0.877 0.015 0.721
Pd: 0.985 0.279 0.123



6.
First-principles (PBE) data for a geometry-optimized LaGe2Mo2 structure, as listed in the Alexandria database.

Summary:
Space group: P4/mbm
ρ in kg/m³: 8453
Relative energy among the computed polymorphs in kJ per mole of atoms: 33.6
Calculated formation energy in eV/atom: -0.01
Magnetization in μB per formula unit: 0.00

Cell: 7.849 7.849 3.036 Å, 90.00 90.00 90.00°
Element x y z (fractional)
La: 0.000 0.000 0.000
La: 0.500 0.500 0.000
Ge: 0.143 0.357 0.000
Ge: 0.357 0.857 0.000
Ge: 0.643 0.143 0.000
Ge: 0.857 0.643 0.000
Mo: 0.139 0.639 0.500
Mo: 0.361 0.139 0.500
Mo: 0.639 0.861 0.500
Mo: 0.861 0.361 0.500



7.
First-principles (PBE) data for a geometry-optimized NaGa2Rh2 structure, as listed in the Alexandria database.

Summary:
Space group: P4/mbm
ρ in kg/m³: 7752
Relative energy among the computed polymorphs in kJ per mole of atoms: 0.0
Calculated formation energy in eV/atom: -0.50
Magnetization in μB per formula unit: 0.00

Cell: 7.368 7.368 2.906 Å, 90.00 90.00 90.00°
Element x y z (fractional)
Na: 0.000 0.000 0.000
Na: 0.500 0.500 0.000
Ga: 0.141 0.359 0.000
Ga: 0.359 0.859 0.000
Ga: 0.641 0.141 0.000
Ga: 0.859 0.641 0.000
Rh: 0.152 0.652 0.500
Rh: 0.348 0.152 0.500
Rh: 0.652 0.848 0.500
Rh: 0.848 0.348 0.500



8.
First-principles (PBE) data for a geometry-optimized Pm3BiSe structure, as listed in the Alexandria database.

Summary:
Raw formation energy in eV per formula unit: -4.81
Space group: C2/c
ρ in kg/m³: 7217
Relative energy among the computed polymorphs in kJ per mole of atoms: 0.0
Magnetization in μB per formula unit: 0.00

Cell: 9.763 9.763 7.347 Å, 99.74 99.74 76.64°
Element x y z (fractional)
Pm: 0.036 0.160 0.425
Pm: 0.139 0.658 0.037
Pm: 0.160 0.036 0.925
Pm: 0.303 0.466 0.525
Pm: 0.342 0.861 0.463
Pm: 0.466 0.303 0.025
Pm: 0.534 0.697 0.975
Pm: 0.658 0.139 0.537
Pm: 0.697 0.534 0.475
Pm: 0.840 0.964 0.075
Pm: 0.861 0.342 0.963
Pm: 0.964 0.840 0.575
Bi: 0.136 0.356 0.791
Bi: 0.356 0.136 0.291
Bi: 0.644 0.864 0.709
Bi: 0.864 0.644 0.209
Se: 0.256 0.744 0.750
Se: 0.420 0.580 0.250
Se: 0.580 0.420 0.750
Se: 0.744 0.256 0.250